No. 1
A relaxed structure of Cs2BaPaO4, computed with PBE.

Cell lengths 7.1050, 3.7140, 7.7384 Å; angles 90.00, 113.96, 90.00 degrees
Space group P2/m (No. 10)
Inequivalent atoms, fractional coordinates:
Cs1 0.0000 0.0000 0.0000 x1
Cs2 0.5000 0.5000 0.0000 x1
Ba1 0.0000 0.5000 0.5000 x1
Pa1 0.5000 0.0000 0.5000 x1
O1 0.3050 0.0000 0.6429 x2
O2 0.3198 0.5000 0.3350 x2

Uncorrected formation energy   -2.444 eV per atom
Magnetization   0.10 μB/atom

No. 2
A relaxed structure of Cs2BaPaO5, computed with PBE.

Cell lengths 4.3961, 6.2862, 14.4216 Å; angles 90.00, 90.00, 90.00 degrees
Space group Immm (No. 71)
Inequivalent atoms, fractional coordinates:
Cs1 0.0000 0.0000 0.2202 x4
Ba1 0.0000 0.5000 0.0000 x2
Pa1 0.0000 0.5000 0.5000 x2
O1 0.0000 0.0000 0.0000 x2
O2 0.0000 0.2514 0.3995 x8

Uncorrected formation energy   -2.449 eV per atom
Magnetization   0.12 μB/atom